Record 1
First-principles (PBE-GGA) data for a geometry-optimized Th4CoPdS2 structure, as listed in Alexandria.

Results
- Uncorrected formation energy: -8.59 eV/f.u.
- Magnetic moment: 0.00 μB per cell
- DFT total energy: -7.353 eV per atom

```
Th4CoPdS2
1.0
7.028 0.000 0.000
0.000 4.031 0.000
-2.300 0.000 7.001
Th Co Pd S
4 1 1 2
Direct
0.232 0.000 0.232 Th
0.237 0.500 0.756 Th
0.763 0.500 0.244 Th
0.768 0.000 0.768 Th
0.000 0.500 0.000 Co
0.500 0.000 0.000 Pd
0.000 0.000 0.500 S
0.500 0.500 0.500 S
```

***

Record 2
First-principles (PBE-GGA) data for a geometry-optimized Tl2CoPdS4 structure, as listed in Alexandria.

Results
- Uncorrected formation energy: -1.55 eV/f.u.
- Magnetic moment: 0.00 μB per cell
- DFT total energy: -4.386 eV per atom

```
Tl2CoPdS4
1.0
0.000 6.621 10.535
2.745 0.000 10.535
2.745 6.621 0.000
Tl Co Pd S
4 2 2 8
Direct
0.062 0.062 0.688 Tl
0.312 0.312 0.938 Tl
0.688 0.688 0.062 Tl
0.938 0.938 0.312 Tl
0.375 0.375 0.375 Co
0.625 0.625 0.625 Co
0.125 0.125 0.125 Pd
0.875 0.875 0.875 Pd
0.003 0.630 0.555 S
0.312 0.555 0.630 S
0.370 0.997 0.688 S
0.445 0.688 0.997 S
0.555 0.312 0.003 S
0.630 0.003 0.312 S
0.688 0.445 0.370 S
0.997 0.370 0.445 S
```

***

Record 3
First-principles (PBE-GGA) data for a geometry-optimized V2CoPd2S6 structure, as listed in Alexandria.

Results
- Uncorrected formation energy: -5.77 eV/f.u.
- Magnetic moment: 0.00 μB per cell
- DFT total energy: -6.024 eV per atom

```
V2CoPd2S6
1.0
2.817 -5.169 0.000
2.817 5.169 0.000
-0.694 0.000 5.991
V Co Pd S
2 1 2 6
Direct
0.132 0.868 0.000 V
0.868 0.132 0.000 V
0.500 0.500 0.000 Co
0.159 0.841 0.500 Pd
0.841 0.159 0.500 Pd
0.158 0.494 0.795 S
0.211 0.211 0.261 S
0.494 0.158 0.795 S
0.506 0.842 0.205 S
0.789 0.789 0.739 S
0.842 0.506 0.205 S
```

***

Record 4
First-principles (PBE-GGA) data for a geometry-optimized CoSbPd2 structure, as listed in Alexandria.

Results
- Uncorrected formation energy: -0.53 eV/f.u.
- Magnetic moment: 0.61 μB per cell
- DFT total energy: -5.537 eV per atom

```
CoSbPd2
1.0
3.902 0.000 0.000
0.000 3.902 0.000
0.000 0.000 4.047
Co Sb Pd
1 1 2
Direct
0.000 0.000 0.000 Co
0.500 0.500 0.000 Sb
0.000 0.500 0.500 Pd
0.500 0.000 0.500 Pd
```